This record from Alexandria describes Cs3NaHg at its PBEsol-relaxed geometry. The functional is SCAN.

```
Cs3NaHg
1.0
7.160 0.000 0.000
0.000 7.160 0.000
0.000 0.000 7.160
Cs Na Hg
3 1 1
direct
0.000 0.000 0.500 Cs
0.000 0.500 0.000 Cs
0.500 0.000 0.000 Cs
0.500 0.500 0.500 Na
0.000 0.000 0.000 Hg
```

Properties
As for the calculated formation energy: -62 meV per atom. As for the density of states at the Fermi level: 5.48 states/eV/cell.